! PaRe2Si2Ni, relaxed, DFT PBE; values from VASP
&SYSTEM
  ibrav = 0, nat = 6, ntyp = 4
/
ATOMIC_SPECIES
Pa 231.04 Pa.upf
Re 186.21 Re.upf
Si 28.09 Si.upf
Ni 58.69 Ni.upf
CELL_PARAMETERS angstrom
4.402 0.000 0.000
0.000 4.402 0.000
0.000 0.000 5.231
ATOMIC_POSITIONS angstrom
Pa 0.000 0.000 2.615
Re 2.201 2.201 3.826
Re 2.201 2.201 1.405
Si 2.201 0.000 0.000
Si 0.000 2.201 0.000
Ni 0.000 0.000 0.000
! Formation energy from raw total energies in meV per atom: 52



! Tb4Al12Ir, relaxed, DFT PBE; values from VASP
&SYSTEM
  ibrav = 0, nat = 17, ntyp = 3
/
ATOMIC_SPECIES
Tb 158.93 Tb.upf
Al 26.98 Al.upf
Ir 192.22 Ir.upf
CELL_PARAMETERS angstrom
7.067 0.000 -2.499
-3.534 6.121 -2.499
0.000 0.000 7.496
ATOMIC_POSITIONS angstrom
Tb 0.000 0.000 3.748
Tb 3.534 0.000 -1.249
Tb 1.767 3.060 1.249
Tb -1.767 3.060 -1.249
Al -1.019 1.764 1.441
Al -2.515 4.356 3.557
Al 2.515 4.356 -3.557
Al 1.019 1.764 -1.441
Al 2.037 0.000 1.441
Al 5.030 0.000 3.557
Al 2.650 1.530 3.748
Al 0.883 4.590 -1.249
Al 4.417 1.530 1.249
Al -0.883 4.590 1.249
Al 3.534 3.060 -1.249
Al 0.000 3.060 3.748
Ir 0.000 0.000 0.000
! E_form in eV/atom: -0.553



! BaEu2Dy, relaxed, DFT PBE; values from VASP
&SYSTEM
  ibrav = 0, nat = 4, ntyp = 3
/
ATOMIC_SPECIES
Eu 151.96 Eu.upf
Ba 137.33 Ba.upf
Dy 162.50 Dy.upf
CELL_PARAMETERS angstrom
-5.119 -0.334 3.521
-3.375 -5.226 0.096
-0.048 -3.579 5.089
ATOMIC_POSITIONS angstrom
Eu -2.135 -2.285 2.176
Eu -6.406 -6.854 6.529
Ba -4.271 -4.570 4.353
Dy 0.000 0.000 0.000
! ΔE to the lowest computed polymorph in kJ/mol of formula units: 24
! E_form in eV/atom: 0.182



! LaInPb2S5, relaxed, DFT PBE; values from VASP
&SYSTEM
  ibrav = 0, nat = 18, ntyp = 4
/
ATOMIC_SPECIES
La 138.91 La.upf
In 114.82 In.upf
Pb 207.20 Pb.upf
S 32.06 S.upf
CELL_PARAMETERS angstrom
-3.904 0.228 1.289
0.598 -8.778 -3.215
3.608 -4.014 11.631
ATOMIC_POSITIONS angstrom
La -0.886 -7.045 5.135
La -0.502 -3.639 -0.877
In 1.334 -4.368 11.385
In 0.348 -9.732 2.772
Pb -0.023 -9.612 8.200
Pb 2.063 -4.947 7.119
Pb 0.789 -3.468 3.001
Pb -2.341 -6.972 0.718
S -0.920 -6.318 -1.670
S 0.709 -6.360 9.845
S 1.503 -11.375 6.558
S 1.644 -7.675 6.331
S -1.190 -10.024 4.740
S -0.467 -4.367 5.931
S 0.439 -7.146 2.589
S -1.023 -1.387 3.721
S -1.910 -4.257 1.544
S 0.077 -0.966 0.404
! Formation energy from raw total energies in meV per atom: -958